A.
Crystalline LaNd2Ag at its relaxed geometry. Source: Alexandria via LeMat-Bulk, functional PBE.

Cell: 3.4987 3.4987 12.1268 Å, 81.71 81.71 60.00°
Positions (direct):
Nd  0.0972  0.0972  0.7084
Nd  0.9028  0.9028  0.2916
Ag  0.5000  0.5000  0.5000
La  0.0000  0.0000  0.0000

Fermi-level density of states: 1.447 states/eV per atom
total magnetization: 0.0 μB/f.u.



B.
Crystalline LaNd2Ag at its relaxed geometry. Source: Alexandria via LeMat-Bulk, functional PBE.

Cell: 3.6855 5.7000 5.7000 Å, 90.00 90.00 90.00°
Positions (direct):
Nd  0.0000  0.0000  0.5000
Nd  0.0000  0.5000  0.0000
Ag  0.5000  0.0000  0.0000
La  0.5000  0.5000  0.5000

Fermi-level density of states: 1.328 states/eV per atom
total magnetization: 0.0 μB/f.u.



Here are the energies relative to the best structure, in kJ/mol of atoms: A 14.4; B 0.0.